# 1
First-principles (GGA-PBE) data for crystalline Th2ZnPt at its relaxed geometry, as listed in the Alexandria database.

The space group is P2_1/m (No. 11) and the conventional cell measures 5.9493, 4.2779 and 8.2801 Å, with angles of 90.00, 109.14 and 90.00 degrees. The inequivalent atoms are Th at (0.2051, 0.2500, 0.4191), Th at (0.2813, 0.7500, 0.0674), Zn at (0.3599, 0.7500, 0.7079) and Pt at (0.1282, 0.2500, 0.7971).

The formation energy comes out at -658 meV/atom.

---

# 2
First-principles (GGA-PBE) data for crystalline Pr7In2Pd2 at its relaxed geometry, as listed in the Alexandria database.

The space group is Cmmm (No. 65) and the conventional cell measures 8.4338, 11.5437 and 7.3504 Å, with angles of 90.00, 90.00 and 90.00 degrees. The inequivalent atoms are Pr at (0.0000, 0.0000, 0.0000), Pr at (0.0000, 0.5000, 0.2510), Pr at (0.2500, 0.2500, 0.2597), In at (0.1693, 0.0000, 0.5000) and Pd at (0.0000, 0.2891, 0.0000).

The formation energy comes out at -317 meV/atom.

---

# 3
First-principles (GGA-PBE) data for crystalline RbCdAgI4 at its relaxed geometry, as listed in the Alexandria database.

The space group is P2_1/m (No. 11) and the conventional cell measures 7.3479, 8.7427 and 9.9664 Å, with angles of 90.00, 102.56 and 90.00 degrees. The inequivalent atoms are Rb at (0.2024, 0.2500, 0.0643), Cd at (0.2085, 0.7500, 0.3269), Ag at (0.3040, 0.2500, 0.6861), I at (0.0518, 0.0054, 0.7253), I at (0.3690, 0.7500, 0.0838) and I at (0.4771, 0.2500, 0.4577).

The formation energy from raw total energies is -734 meV per atom.

---

# 4
First-principles (GGA-PBE) data for crystalline AlSi4Ni2 at its relaxed geometry, as listed in the Alexandria database.

The space group is P2_1/m (No. 11) and the conventional cell measures 6.8151, 3.5296 and 8.1767 Å, with angles of 90.00, 107.43 and 90.00 degrees. The inequivalent atoms are Al at (0.1791, 0.2500, 0.2929), Si at (0.0737, 0.2500, 0.6222), Si at (0.0788, 0.2500, 0.9221), Si at (0.4599, 0.7500, 0.8657), Si at (0.4928, 0.7500, 0.3721), Ni at (0.2721, 0.7500, 0.5586) and Ni at (0.2855, 0.7500, 0.0815).

The value obtained for the offset from the most stable computed form is 0 meV/atom. The formation energy from raw total energies is -197 meV per atom.

---

Calculated M_tot, 0.0 0.0 0.0 0.0 Bohr magnetons per cell (same order as the records).